#A
Computed, not measured: a relaxed structure of TlRuPb2 at the PBE-GGA level of DFT.

The structure in POSCAR format:
```
TlRuPb2
1.0
1.694 0.978 10.199
-1.694 0.978 10.199
0.000 -1.956 10.199
Tl Ru Pb
1 1 2
direct
0.000 0.000 0.000
0.266 0.266 0.266
0.534 0.534 0.534
0.765 0.765 0.765
```


#B
Computed, not measured: a relaxed structure of TlRuPb2 at the PBE-GGA level of DFT.

The structure in POSCAR format:
```
TlRuPb2
1.0
0.000 3.651 3.651
3.651 0.000 3.651
3.651 3.651 0.000
Tl Ru Pb
1 1 2
direct
0.000 0.000 0.000
0.500 0.500 0.500
0.250 0.250 0.250
0.750 0.750 0.750
```


Most stable: #A (next structure +20.0 kJ/mol of atoms)